Record 1
A geometry-optimized SrTaCu structure, computed with PBEsol.

Cell lengths 6.5828, 6.5828, 6.5828 Å; angles 90.00, 90.00, 90.00 degrees
Element x y z (fractional)
Sr 0.0000 0.0000 0.0000
Sr 0.0000 0.5000 0.5000
Sr 0.5000 0.0000 0.5000
Sr 0.5000 0.5000 0.0000
Ta 0.0000 0.0000 0.5000
Ta 0.0000 0.5000 0.0000
Ta 0.5000 0.0000 0.0000
Ta 0.5000 0.5000 0.5000
Cu 0.2500 0.2500 0.7500
Cu 0.2500 0.7500 0.2500
Cu 0.7500 0.2500 0.2500
Cu 0.7500 0.7500 0.7500

Properties
**Formation energy**: 1.28 eV/atom
**V**: 285.3 Å³ per cell
**Calculated total energy**: -0.36505 Ry/atom
**Density of states at the Fermi level**: 18.49 states/eV/cell
**Total magnetization**: 6.8 μB per cell

Record 2
A geometry-optimized SrTa2Cu structure, computed with PBEsol.

Cell lengths 3.0265, 3.5830, 7.7064 Å; angles 90.00, 90.00, 90.00 degrees
Element x y z (fractional)
Sr 0.0000 0.0000 0.0000
Ta 0.0000 0.0000 0.5420
Ta 0.5000 0.5000 0.3451
Cu 0.5000 0.5000 0.7122

Properties
**Formation energy**: 0.47 eV/atom
**V**: 83.6 Å³ per cell
**Calculated total energy**: -0.54010 Ry/atom
**Density of states at the Fermi level**: 4.24 states/eV/cell
**Total magnetization**: 0.0 μB per cell

Record 3
A geometry-optimized SrTaCu2Tc structure, computed with PBEsol.

Cell lengths 4.6638, 4.6638, 4.8557 Å; angles 90.00, 90.00, 90.00 degrees
Element x y z (fractional)
Sr 0.0000 0.0000 0.0000
Ta 0.5000 0.5000 0.0000
Cu 0.0000 0.5000 0.5000
Cu 0.5000 0.0000 0.5000
Tc 0.0000 0.0000 0.5000

Properties
**Formation energy**: 1.92 eV/atom
**V**: 105.6 Å³ per cell
**Calculated total energy**: -0.36354 Ry/atom
**Density of states at the Fermi level**: 7.15 states/eV/cell
**Total magnetization**: 2.3 μB per cell

Record 4
A geometry-optimized Sr2CuTc structure, computed with PBEsol.

Cell lengths 7.3431, 7.3431, 7.3431 Å; angles 90.00, 90.00, 90.00 degrees
Element x y z (fractional)
Sr 0.2500 0.2500 0.2500
Sr 0.2500 0.2500 0.7500
Sr 0.2500 0.7500 0.2500
Sr 0.2500 0.7500 0.7500
Sr 0.7500 0.2500 0.2500
Sr 0.7500 0.2500 0.7500
Sr 0.7500 0.7500 0.2500
Sr 0.7500 0.7500 0.7500
Cu 0.0000 0.0000 0.0000
Cu 0.0000 0.5000 0.5000
Cu 0.5000 0.0000 0.5000
Cu 0.5000 0.5000 0.0000
Tc 0.0000 0.0000 0.5000
Tc 0.0000 0.5000 0.0000
Tc 0.5000 0.0000 0.0000
Tc 0.5000 0.5000 0.5000

Properties
**Formation energy**: 0.85 eV/atom
**V**: 395.9 Å³ per cell
**Calculated total energy**: -0.29194 Ry/atom
**Density of states at the Fermi level**: 24.82 states/eV/cell
**Total magnetization**: 8.1 μB per cell

Record 5
A geometry-optimized Sr3CuTc structure, computed with PBEsol.

Cell lengths 5.6313, 5.6313, 5.6313 Å; angles 90.00, 90.00, 90.00 degrees
Element x y z (fractional)
Sr 0.0000 0.0000 0.5000
Sr 0.0000 0.5000 0.0000
Sr 0.5000 0.0000 0.0000
Cu 0.0000 0.0000 0.0000
Tc 0.5000 0.5000 0.5000

Properties
**Formation energy**: 0.98 eV/atom
**V**: 178.6 Å³ per cell
**Calculated total energy**: -0.23838 Ry/atom
**Density of states at the Fermi level**: 7.61 states/eV/cell
**Total magnetization**: 3.2 μB per cell

Record 6
A geometry-optimized Sr2Cu2Te structure, computed with PBEsol.

Cell lengths 6.1196, 6.1196, 4.7526 Å; angles 90.00, 90.00, 90.00 degrees
Element x y z (fractional)
Sr 0.0000 0.5000 0.0000
Sr 0.5000 0.0000 0.0000
Cu 0.0000 0.0000 0.5000
Cu 0.5000 0.5000 0.5000
Te 0.0000 0.0000 0.0000

Properties
**V**: 178.0 Å³ per cell
**Calculated total energy**: -0.22254 Ry/atom
**Density of states at the Fermi level**: 4.79 states/eV/cell
**Energy relative to the elements, uncorrected**: 0.147 eV/atom
**Total magnetization**: 0.0 μB per cell

Record 7
A geometry-optimized SrCu2Te structure, computed with PBEsol.

Cell lengths 4.2545, 4.2545, 10.5605 Å; angles 90.00, 90.00, 90.00 degrees
Element x y z (fractional)
Sr 0.0000 0.0000 0.0000
Sr 0.5000 0.5000 0.5000
Cu 0.0000 0.0000 0.3882
Cu 0.0000 0.0000 0.6118
Cu 0.5000 0.5000 0.1118
Cu 0.5000 0.5000 0.8882
Te 0.0000 0.5000 0.2500
Te 0.5000 0.0000 0.7500

Properties
**V**: 191.1 Å³ per cell
**Calculated total energy**: -0.28332 Ry/atom
**Density of states at the Fermi level**: 1.47 states/eV/cell
**Energy relative to the elements, uncorrected**: -0.346 eV/atom
**Total magnetization**: 0.0 μB per cell

Record 8
A geometry-optimized Sr3CuTe structure, computed with PBEsol.

Cell lengths 5.7062, 5.7062, 5.7062 Å; angles 90.00, 90.00, 90.00 degrees
Element x y z (fractional)
Sr 0.0000 0.0000 0.5000
Sr 0.0000 0.5000 0.0000
Sr 0.5000 0.0000 0.0000
Cu 0.0000 0.0000 0.0000
Te 0.5000 0.5000 0.5000

Properties
**V**: 185.8 Å³ per cell
**Calculated total energy**: -0.22117 Ry/atom
**Density of states at the Fermi level**: 3.67 states/eV/cell
**Energy relative to the elements, uncorrected**: -0.333 eV/atom
**Total magnetization**: 0.0 μB per cell